(1)
The following is a PBE calculation of a geometry-optimized TaBe2Cr structure, from Alexandria.

extended XYZ file:
```
4
Lattice="0.000 2.851 2.851 2.851 0.000 2.851 2.851 2.851 0.000" Properties=species:S:1:pos:R:3 pbc="T T T"
Cr 0.000 0.000 0.000
Be 1.426 1.426 1.426
Be 4.277 4.277 4.277
Ta 2.851 2.851 2.851
```

Results
Energy of formation from the pure elements, meV per atom: 168
Total magnetic moment, μB/atom: 0.000
V, A^3/atom: 11.59
Space group: Fm-3m (225)

=====

(2)
The following is a PBE calculation of a geometry-optimized AlCr2NiN structure, from Alexandria.

extended XYZ file:
```
5
Lattice="3.794 0.000 0.000 0.000 3.854 0.000 0.000 0.000 3.794" Properties=species:S:1:pos:R:3 pbc="T T T"
Ni 0.000 1.927 0.000
N 0.000 0.000 0.000
Al 1.897 1.927 1.897
Cr 0.000 0.000 1.897
Cr 1.897 0.000 0.000
```

Results
Total magnetic moment, μB/atom: 0.034
Energy, eV/atom: -7.71
V, A^3/atom: 11.09
Space group: P4/mmm (123)

=====

(3)
The following is a PBE calculation of a geometry-optimized CsHfS3 structure, from Alexandria.

extended XYZ file:
```
20
Lattice="26.286 0.000 -1.225 0.000 7.761 0.000 -9.198 0.000 3.598" Properties=species:S:1:pos:R:3 pbc="T T T"
Cs 6.767 5.818 0.944
Cs 10.320 1.943 1.429
Cs 1.777 1.937 0.243
Cs 15.311 5.824 2.131
S -0.446 0.164 2.378
S 17.534 7.598 -0.005
S -0.208 4.044 2.406
S 17.296 3.717 -0.033
S 6.489 1.942 0.905
S 10.599 5.819 1.468
S 2.055 5.823 0.281
S 15.033 1.938 2.092
S 14.101 7.411 -0.473
S 2.986 0.351 2.846
S 20.729 3.530 0.435
S -3.641 4.231 1.938
Hf -1.890 2.413 2.177
Hf 18.978 5.348 0.196
Hf 1.236 6.294 2.607
Hf 15.852 1.467 -0.234
```

Results
Total magnetic moment, μB/atom: 0.000
Energy, eV/atom: -5.84
V, A^3/atom: 32.33
Space group: P2_1/c (14)

=====

(4)
The following is a PBE calculation of a geometry-optimized Sm2PbSe structure, from Alexandria.

extended XYZ file:
```
4
Lattice="3.990 0.000 0.000 1.995 3.455 0.000 1.995 1.152 8.394" Properties=species:S:1:pos:R:3 pbc="T T T"
Sm 1.995 1.152 6.624
Sm 1.995 1.152 1.770
Pb 3.990 2.303 4.213
Se 5.984 3.455 8.376
```

Results
Total magnetic moment, μB/atom: 0.000
Energy, eV/atom: -5.27
V, A^3/atom: 28.93
Space group: R3m (160)

=====

(5)
The following is a PBE calculation of a geometry-optimized Rb2AlBr6F structure, from Alexandria.

extended XYZ file:
```
10
Lattice="-1.594 6.072 3.870 -7.181 -1.046 -1.316 -4.803 -0.640 6.053" Properties=species:S:1:pos:R:3 pbc="T T T"
F -4.387 2.513 1.277
Br -4.622 0.732 3.974
Br -8.955 3.654 4.633
Br -2.129 1.219 0.620
Br -6.645 3.806 1.935
Br -2.949 4.345 2.612
Br -5.825 0.681 -0.057
Rb -5.392 3.973 5.600
Rb -8.185 0.413 3.007
Al 0.000 0.000 0.000
```

Results
Total magnetic moment, μB/atom: 0.200
Energy, eV/atom: -2.83
V, A^3/atom: 31.20
Space group: I4/mmm (139)